## P
Below is a relaxed structure of Pa2Co4Ir, with properties calculated at the PBE level.

abc: 7.0000 7.0000 7.0000
angles: 141.54 141.54 55.52
Closest atoms and distances in Å follow each position.
Sites, in units of the cell vectors:
Pa1 0.1364 0.1364 0.0000  1 Co 2.10
Pa2 0.8636 0.8636 0.0000  1 Co 2.10
Co1 0.0000 0.5000 0.5000  2 Ir 2.31
Co2 0.3060 0.3060 0.0000  1 Pa 2.10
Co3 0.5000 0.0000 0.5000  2 Ir 2.31
Co4 0.6940 0.6940 0.0000  1 Pa 2.10
Ir1 0.5000 0.5000 0.0000  6 Co 2.31-2.40

Theoretical density ... 11.22 g cm⁻³
Symmetry ... I4/mmm, No. 139
N(E_F) ... 5.398 states/eV/f.u.

***

## Q
Below is a relaxed structure of Pa2Co4Ir, with properties calculated at the PBE level.

abc: 5.3826 5.3826 3.7882
angles: 90.00 90.00 90.57
Closest atoms and distances in Å follow each position.
Sites, in units of the cell vectors:
Pa1 0.2216 0.2216 0.0000  8 Co 2.57-2.82, 2 Ir 2.83
Pa2 0.7784 0.7784 0.0000  8 Co 2.57-2.82, 2 Ir 2.83
Co1 0.0000 0.5000 0.5000  4 Co 2.68, 2 Ir 2.69, 4 Pa 2.70
Co2 0.2544 0.7456 0.0000  4 Pa 2.57-2.82, 2 Ir 2.67, 4 Co 2.68
Co3 0.5000 0.0000 0.5000  4 Co 2.68, 2 Ir 2.69, 4 Pa 2.70
Co4 0.7456 0.2544 0.0000  4 Pa 2.57-2.82, 2 Ir 2.67, 4 Co 2.68
Ir1 0.5000 0.5000 0.5000  8 Co 2.67-2.69, 4 Pa 2.83

Theoretical density ... 13.47 g cm⁻³
Symmetry ... Cmmm, No. 65
N(E_F) ... 6.143 states/eV/f.u.

***

Which one sits at the bottom of the stability order? P does.

***

## P
Below is a relaxed structure of TmPaCoIr, with properties calculated at the PBE level.

abc: 4.1648 5.3354 5.3354
angles: 41.95 90.00 90.00
Closest atoms and distances in Å follow each position.
Sites, in units of the cell vectors:
Tm1 0.0000 0.0000 0.0000  3 Ir 2.81-2.89, 4 Co 2.84
Pa1 0.5000 0.2898 0.2898  1 Co 2.38
Co1 0.5000 0.5285 0.5285  1 Pa 2.38
Ir1 0.0000 0.7183 0.7183  3 Tm 2.81-2.89, 2 Co 2.81, 4 Pa 2.91

Theoretical density ... 13.64 g cm⁻³
Symmetry ... Amm2, No. 38
N(E_F) ... 3.337 states/eV/f.u.

***

## Q
Below is a relaxed structure of TmPaCoIr, with properties calculated at the PBE level.

abc: 4.7895 4.7895 4.7895
angles: 60.00 60.00 60.00
Closest atoms and distances in Å follow each position.
Sites, in units of the cell vectors:
Tm1 0.0000 0.0000 0.0000  4 Co 2.93, 4 Ir 2.93
Pa1 0.5000 0.5000 0.5000  4 Co 2.93, 4 Ir 2.93
Co1 0.2500 0.2500 0.2500  4 Pa 2.93, 4 Tm 2.93
Ir1 0.7500 0.7500 0.7500  4 Pa 2.93, 4 Tm 2.93

Theoretical density ... 13.92 g cm⁻³
Symmetry ... F-43m, No. 216
N(E_F) ... 5.462 states/eV/f.u.

***

Which one sits at the bottom of the stability order? Q does.